No. 1
! Zn2TeW | Alexandria | PBE | optimized geometry; values from VASP
! * space-group type: No. 160
! * formation energy without anion corrections: 1.524 eV per formula unit
&SYSTEM
  ibrav = 0, nat = 4, ntyp = 3
/
ATOMIC_SPECIES
W 183.84 W.upf
Te 127.60 Te.upf
Zn 65.41 Zn.upf
CELL_PARAMETERS angstrom
8.770 -0.004 -0.003
8.177 3.172 -0.003
8.177 1.528 2.779
ATOMIC_POSITIONS crystal
W 0.748 0.748 0.748
Te 0.490 0.490 0.490
Zn 0.001 0.001 0.001
Zn 0.261 0.261 0.261



No. 2
! HfHSeCl | Alexandria | PBE | optimized geometry; values from VASP
! * space-group type: No. 160
! * total energy: -5.75 eV/atom
&SYSTEM
  ibrav = 0, nat = 4, ntyp = 4
/
ATOMIC_SPECIES
Se 78.96 Se.upf
Cl 35.45 Cl.upf
Hf 178.49 Hf.upf
H 1.01 H.upf
CELL_PARAMETERS angstrom
-2.700 0.240 -2.522
-2.726 -2.505 -0.038
-5.778 3.504 3.804
ATOMIC_POSITIONS crystal
Se 0.511 0.795 0.183
Cl 0.003 0.289 0.706
Hf 0.107 0.391 0.395
H 0.758 0.042 0.442